# 1
Be2FeRu GGA-PBE optimized geometry; N(E_F) = 2.2 states/eV/cell; DFT formation energy = 3.5 kJ/mol of atoms; space-group type = R-3m (166); total magnetic moment = 1.621 μB per cell
1.0
7.6065 0.0168 0.0099
7.1596 2.5690 0.0099
7.1596 1.2538 2.2423
Be Ru Fe
2 1 1
Cartesian
10.9949 1.9254 1.1344 Be
21.8937 3.8340 2.2588 Be
16.4443 2.8797 1.6966 Ru
5.4814 0.9599 0.5655 Fe

# 2
TbHgO GGA-PBE optimized geometry; N(E_F) = 1.3 states/eV/cell; space-group type = P4/nmm (129); total magnetic moment = 0.000 μB per cell; energy above the most stable polymorph in this dataset = 0.0 meV/atom
1.0
3.9283 0.0000 -0.0005
0.0000 3.9283 0.0006
0.0008 -0.0012 7.8995
Tb Hg O
2 2 2
Cartesian
0.9823 2.9458 2.8504 Tb
2.9468 0.9814 5.0493 Tb
2.9463 0.9820 0.7531 Hg
0.9829 2.9452 7.1465 Hg
2.9467 2.9457 3.9498 O
0.9825 0.9815 3.9498 O

# 3
Tb2LuPt GGA-PBE optimized geometry; N(E_F) = 5.4 states/eV/cell; DFT formation energy = -25.7 kJ/mol of atoms; space-group type = R-3m (166); total magnetic moment = 0.000 μB per cell; energy above the most stable polymorph in this dataset = 293.1 meV/atom
1.0
-3.3176 1.5613 -0.4315
-2.8851 -1.2267 1.9497
0.1584 6.9393 8.0956
Tb Pt Lu
2 1 1
Cartesian
-5.4779 2.5579 3.9895 Tb
-0.5665 4.7160 5.6243 Tb
-3.0222 3.6369 4.8069 Pt
0.0000 0.0000 0.0000 Lu

# 4
Sm4Re GGA-PBE optimized geometry; N(E_F) = 8.6 states/eV/cell; DFT formation energy = 31.9 kJ/mol of atoms; space-group type = Pm-3m (221); total magnetic moment = 0.329 μB per cell
1.0
5.5442 0.0000 0.0000
0.0000 5.5442 0.0000
0.0000 0.0000 5.5442
Sm Re
4 1
Cartesian
0.0000 0.0000 0.0000 Sm
2.7721 2.7721 0.0000 Sm
0.0000 2.7721 2.7721 Sm
2.7721 0.0000 2.7721 Sm
2.7721 2.7721 2.7721 Re

# 5
CoRe2Tc GGA-PBE optimized geometry; N(E_F) = 3.7 states/eV/cell; DFT formation energy = 16.2 kJ/mol of atoms; space-group type = P4/mmm (123); total magnetic moment = 0.000 μB per cell; energy above the most stable polymorph in this dataset = 141.4 meV/atom
1.0
-3.0362 0.7730 0.2574
-0.7998 -3.0170 -0.3745
0.2773 -0.7644 5.5666
Co Re Tc
1 2 1
Cartesian
-1.7100 -1.6953 4.1164 Co
0.2690 -0.7416 5.4007 Re
0.1469 -0.4050 2.9491 Re
-1.8487 -1.3131 1.3331 Tc

# 6
Pr2SmTm GGA-PBE optimized geometry; N(E_F) = 6.0 states/eV/cell; DFT formation energy = 2.1 kJ/mol of atoms; space-group type = P4/mmm (123); total magnetic moment = 0.000 μB per cell; energy above the most stable polymorph in this dataset = 5.6 meV/atom
1.0
-3.2770 0.9677 -1.2754
-1.5968 -1.7643 2.7640
0.3263 8.5251 5.6301
Sm Tm Pr
1 1 2
Cartesian
-2.2737 3.8643 3.5593 Sm
-2.4369 -0.3983 0.7443 Tm
0.0800 2.0912 1.3811 Pr
0.2462 6.4339 4.2491 Pr

# 7
PuPdI2 GGA-PBE optimized geometry; N(E_F) = 12.6 states/eV/cell; uncorrected energy = -5.653 eV per atom; space-group type = R-3m (166); total magnetic moment = 5.765 μB per cell
1.0
-0.3543 0.0239 -4.0229
-3.3330 -1.4717 -1.7424
-5.2004 8.0373 -1.5213
Pu I Pd
1 2 1
Cartesian
0.0000 0.0000 0.0000 Pu
-4.9665 1.2966 -5.6363 I
-3.9212 5.2930 -1.6503 I
-4.4438 3.2948 -3.6433 Pd

# 8
MgS GGA-PBE optimized geometry; N(E_F) = 0.0 states/eV/cell; uncorrected energy = -4.281 eV per atom; space-group type = P6_3mc (186); total magnetic moment = 0.000 μB per cell
1.0
4.0378 0.0000 0.0000
-2.0189 3.4968 0.0000
0.0000 0.0000 19.6345
Mg S
6 6
Cartesian
0.0000 0.0000 9.8179 Mg
2.0189 1.1656 3.2795 Mg
0.0000 0.0000 0.0006 Mg
0.0000 2.3312 6.5588 Mg
0.0000 2.3312 13.0967 Mg
2.0189 1.1656 16.3760 Mg
0.0000 2.3312 4.0881 S
0.0000 0.0000 17.1712 S
0.0000 0.0000 7.3540 S
2.0189 1.1656 0.8093 S
2.0189 1.1656 13.9053 S
0.0000 2.3312 10.6265 S

# 9
Sm3Tl2In GGA-PBE optimized geometry; N(E_F) = 4.8 states/eV/cell; DFT formation energy = -40.3 kJ/mol of atoms; space-group type = P4/mmm (123); total magnetic moment = 0.000 μB per cell
1.0
-1.6382 -2.8122 -2.0232
3.0299 -2.2481 0.6715
-5.1261 -4.0058 9.7185
Tl Sm In
2 3 1
Cartesian
-0.1623 -3.2008 0.9512 Tl
-3.5721 -5.8653 7.4157 Tl
0.0000 0.0000 0.0000 Sm
-3.4044 -2.6604 6.4544 Sm
-1.7217 -1.3454 3.2641 Sm
-1.8672 -4.5331 4.1834 In

# 10
BWSe2N GGA-PBE optimized geometry; N(E_F) = 3.8 states/eV/cell; space-group type = P4/mmm (123); total magnetic moment = 1.231 μB per cell; energy above the most stable polymorph in this dataset = 0.0 meV/atom
1.0
-2.0964 -1.2683 -4.7593
-2.8100 -3.9401 2.2878
-2.0273 1.7011 0.4397
N Se W B
1 2 1 1
Cartesian
-1.0137 0.8506 0.2198 N
-1.4050 -1.9701 1.1439 Se
-1.0482 -0.6342 -2.3796 Se
-3.4669 -1.7537 -1.0159 W
0.0000 0.0000 0.0000 B

# 11
K2Tl6GaHg GGA-PBE optimized geometry; N(E_F) = 9.4 states/eV/cell; DFT formation energy = 2.3 kJ/mol of atoms; space-group type = Pmmn (59); total magnetic moment = 0.000 μB per cell
1.0
-6.1179 -1.0737 -2.7119
-4.3441 -0.9849 10.1900
-1.7536 9.5490 0.1754
Ga Tl K Hg
2 12 4 2
Cartesian
-3.2403 -0.7346 7.6008 Ga
-5.0395 3.9874 1.3209 Ga
-4.9198 6.6345 0.0029 Tl
-3.9960 1.6041 -0.0895 Tl
-5.1136 6.1674 9.0943 Tl
-5.5654 3.9478 -1.7805 Tl
-7.4911 3.5103 2.7869 Tl
-4.2838 1.6487 9.0113 Tl
-2.4567 4.4934 -0.4025 Tl
-8.8323 -1.7687 7.9904 Tl
-3.8613 -0.7968 4.7728 Tl
-4.4184 4.0495 4.1490 Tl
-6.9065 -1.3312 3.4229 Tl
-5.8231 -1.2406 9.3243 Tl
-2.4797 7.0868 2.7885 K
-6.7435 1.3035 6.2276 K
-7.5536 5.7150 6.3087 K
-1.5363 1.9493 2.6941 K
-4.3779 -0.8359 1.7381 Hg
-3.9018 4.0887 7.1837 Hg

# 12
Sc3Rh8 GGA-PBE optimized geometry; N(E_F) = 12.5 states/eV/cell; DFT formation energy = -37.8 kJ/mol of atoms; space-group type = P-1 (2); total magnetic moment = 0.000 μB per cell
1.0
-5.5164 -5.4768 2.0304
2.3381 -2.2264 3.3933
-0.9564 3.2623 3.5455
Sc Rh
3 8
Cartesian
-3.2364 -1.1072 2.7880 Sc
0.6908 0.5179 3.4694 Sc
-1.5892 -3.8516 2.7118 Sc
-0.7064 0.2971 1.1978 Rh
-3.1747 -3.0971 4.5733 Rh
-2.0748 1.1583 3.5279 Rh
-2.0600 -5.5991 5.4413 Rh
-4.4680 -2.3537 6.7678 Rh
-0.9600 -1.3437 4.3959 Rh
0.3333 -2.0872 2.2015 Rh
-3.4283 -4.7380 7.7714 Rh